Record 1
# Rh

A geometry-optimized Rh structure (GGA-PBE, Alexandria).

a = 3.8409 Å, b = 3.8409 Å, c = 3.8409 Å
α = 90.00°, β = 90.00°, γ = 90.00°
Space group Fm-3m (No. 225)
Inequivalent atoms, fractional coordinates:
Rh 0.0000 0.0000 0.0000 x4

Values from the calculation:
The calculation puts the offset from the most stable computed form at 0 meV per atom. As for the calculated formation energy: 0.000 eV per atom.



Record 2
# SnB2Te

A geometry-optimized SnB2Te structure (GGA-PBE, Alexandria).

a = 6.4541 Å, b = 6.4541 Å, c = 6.4541 Å
α = 90.00°, β = 90.00°, γ = 90.00°
Space group Fm-3m (No. 225)
Inequivalent atoms, fractional coordinates:
Sn 0.0000 0.0000 0.0000 x4
B 0.2500 0.2500 0.2500 x8
Te 0.0000 0.0000 0.5000 x4

Values from the calculation:
The calculation puts the offset from the most stable computed form at 1050 meV per atom.